Entry 1:
TcHgRu2 (meta-GGA SCAN, single point on PBEsol structure); energy = -42.775 eV/atom; ΔH_f (0 K) = 0.4448 eV per atom; magnetization = 0.00 μB per cell
1.0
2.7775 0.0000 0.0000
-1.3887 4.5267 0.0050
0.0000 -0.8827 4.7737
Hg Ru Tc
1 2 1
Direct
0.0000 0.0000 0.5000
0.7607 0.5213 0.7817
0.2393 0.4787 0.2183
0.5000 0.0000 0.0000

***

Entry 2:
HgTe2Ru (meta-GGA SCAN, single point on PBEsol structure); energy = -43.658 eV/atom; magnetization = 0.00 μB per cell
1.0
-3.1706 1.2948 2.6566
1.7449 -2.3245 3.2154
3.1842 4.0599 -1.7143
Hg Ru Te
1 1 2
Direct
0.5000 0.5000 0.0000
0.2500 0.7500 0.5000
0.0000 0.0000 0.0000
0.7500 0.2500 0.5000

***

Entry 3:
Ti3HgRu (meta-GGA SCAN, single point on PBEsol structure); energy = -28.811 eV/atom; ΔH_f (0 K) = 1.4057 eV per atom; magnetization = 0.51 μB per cell
1.0
4.8022 0.0000 0.0000
0.0000 4.8022 0.0000
0.0000 0.0000 4.8022
Ru Hg Ti
1 1 3
Direct
0.5000 0.5000 0.5000
0.0000 0.0000 0.0000
0.0000 0.5000 0.0000
0.0000 0.0000 0.5000
0.5000 0.0000 0.0000

***

Entry 4:
TlHgRu2 (meta-GGA SCAN, single point on PBEsol structure); energy = -51.849 eV/atom; ΔH_f (0 K) = 0.6956 eV per atom; magnetization = 0.92 μB per cell
1.0
-1.7888 2.0757 -1.1758
0.4020 -3.5512 -3.0999
-3.9390 -1.6795 3.0275
Hg Ru Tl
1 2 1
Direct
0.5000 0.0000 0.0000
0.7479 0.4958 0.7763
0.2521 0.5042 0.2237
0.0000 0.0000 0.5000